4
Lattice="-2.7961 0.8576 -4.7160 -0.5345 -2.4663 -4.9422 -4.0025 -2.5261 -2.8969" Properties=species:S:1:pos:R:3 comment="CaP2Rh (PBE-GGA, relaxed)" polymorph_energy_mev_per_atom=12 magnetic_moment_mub_per_cell=0.00 pbc="T T T"
Ca -5.4998 -3.1011 -9.4163
Rh -1.8333 -1.0337 -3.1388
P -7.0766 -3.9901 -12.1159
P -3.9231 -2.2120 -6.7168